Record 1
PBE CrTeBr4, relaxed; crystal system = cubic; uncorrected formation energy = 0.811 eV/atom; space-group type = No. 216; M_tot = 3.4 μB per cell
1.0
0.0000 4.4284 4.4284
4.4284 0.0000 4.4284
4.4284 4.4284 0.0000
Te Cr Br
1 1 4
direct
0.0000 0.0000 0.0000
0.7500 0.7500 0.7500
0.3757 0.8729 0.3757
0.3757 0.3757 0.8729
0.8729 0.3757 0.3757
0.3757 0.3757 0.3757

Record 2
PBE CrTe2Br, relaxed; crystal system = cubic; uncorrected formation energy = 0.425 eV/atom; E above lowest polymorph = 656.2 meV per atom; space-group type = No. 225; M_tot = 2.8 μB per cell
1.0
2.4027 -1.3643 4.3353
2.2541 3.5770 2.9246
-2.0235 1.2410 4.5601
Cr Br Te
1 1 2
direct
0.0000 0.0000 0.0000
0.5000 0.5000 0.5000
0.2500 0.2500 0.2500
0.7500 0.7500 0.7500